# BaZnC PBE optimized geometry
data_BaZnC
_space_group_name_H-M_alt 'P -1'
_space_group_IT_number 2
_cell_length_a 4.424
_cell_length_b 5.530
_cell_length_c 6.881
_cell_angle_alpha 109.66
_cell_angle_beta 108.51
_cell_angle_gamma 90.32
loop_
_space_group_symop_operation_xyz
'x,y,z'
'-x,-y,-z'
loop_
_atom_site_label
_atom_site_type_symbol
_atom_site_fract_x
_atom_site_fract_y
_atom_site_fract_z
Ba1 Ba 0.111 0.350 0.216
Zn1 Zn 0.305 0.059 0.611
C1 C 0.455 0.024 0.910
# Formation enthalpy at 0 K   0.174 eV/f.u.
# Uncorrected energy   -4.08 eV per atom